VASP calculation (PBE) on a geometry-optimized LiLaNdRu structure.

```
16
Lattice="7.231 0.000 0.000 0.000 7.231 0.000 0.000 0.000 7.231" Properties=species:S:1:pos:R:3 pbc="T T T"
Li 0.000 0.000 0.000
Li 0.000 3.615 3.615
Li 3.615 0.000 3.615
Li 3.615 3.615 0.000
La 1.808 1.808 1.808
La 1.808 5.423 5.423
La 5.423 1.808 5.423
La 5.423 5.423 1.808
Nd 1.808 1.808 5.423
Nd 1.808 5.423 1.808
Nd 5.423 1.808 1.808
Nd 5.423 5.423 5.423
Ru 0.000 0.000 3.615
Ru 0.000 3.615 0.000
Ru 3.615 0.000 0.000
Ru 3.615 3.615 3.615
```

Output
space group = F-43m
ΔH_f (0 K) = -131 meV/atom


VASP calculation (PBE) on a geometry-optimized Hf2FeNi structure.

```
16
Lattice="6.837 0.000 0.000 0.000 6.837 0.000 0.000 0.000 5.709" Properties=species:S:1:pos:R:3 pbc="T T T"
Hf 1.671 1.709 0.714
Hf 1.709 5.089 2.141
Hf 1.709 5.166 4.996
Hf 1.747 1.709 3.568
Hf 5.089 5.127 3.568
Hf 5.127 1.671 4.996
Hf 5.127 1.747 2.141
Hf 5.166 5.127 0.714
Fe 0.000 0.000 0.000
Fe 0.000 3.418 1.427
Fe 3.418 0.000 4.282
Fe 3.418 3.418 2.855
Ni 0.000 0.000 2.855
Ni 0.000 3.418 4.282
Ni 3.418 0.000 1.427
Ni 3.418 3.418 0.000
```

Output
space group = I-42d
ΔH_f (0 K) = 170 meV/atom


VASP calculation (PBE) on a geometry-optimized TbInAgAu structure.

```
16
Lattice="7.003 0.000 0.000 0.000 7.003 0.000 0.000 0.000 7.003" Properties=species:S:1:pos:R:3 pbc="T T T"
Tb 0.000 0.000 0.000
Tb 0.000 3.501 3.501
Tb 3.501 0.000 3.501
Tb 3.501 3.501 0.000
In 0.000 0.000 3.501
In 0.000 3.501 0.000
In 3.501 0.000 0.000
In 3.501 3.501 3.501
Ag 1.751 1.751 1.751
Ag 1.751 5.252 5.252
Ag 5.252 1.751 5.252
Ag 5.252 5.252 1.751
Au 1.751 1.751 5.252
Au 1.751 5.252 1.751
Au 5.252 1.751 1.751
Au 5.252 5.252 5.252
```

Output
space group = F-43m
ΔH_f (0 K) = -549 meV/atom


VASP calculation (PBE) on a geometry-optimized PmScCuNi structure.

```
16
Lattice="6.750 0.000 0.000 0.000 6.750 0.000 0.000 0.000 6.750" Properties=species:S:1:pos:R:3 pbc="T T T"
Pm 0.000 0.000 0.000
Pm 0.000 3.375 3.375
Pm 3.375 0.000 3.375
Pm 3.375 3.375 0.000
Sc 0.000 0.000 3.375
Sc 0.000 3.375 0.000
Sc 3.375 0.000 0.000
Sc 3.375 3.375 3.375
Cu 1.688 1.688 1.688
Cu 1.688 5.063 5.063
Cu 5.063 1.688 5.063
Cu 5.063 5.063 1.688
Ni 1.688 1.688 5.063
Ni 1.688 5.063 1.688
Ni 5.063 1.688 1.688
Ni 5.063 5.063 5.063
```

Output
space group = F-43m
ΔH_f (0 K) = -257 meV/atom


VASP calculation (PBE) on a geometry-optimized PmSm7 structure.

```
8
Lattice="0.000 5.130 5.130 5.130 0.000 5.130 5.130 5.130 0.000" Properties=species:S:1:pos:R:3 pbc="T T T"
Pm 0.000 0.000 0.000
Sm 2.565 2.565 0.000
Sm 2.565 0.000 2.565
Sm 5.130 2.565 2.565
Sm 0.000 2.565 2.565
Sm 2.565 5.130 2.565
Sm 2.565 2.565 5.130
Sm 5.130 5.130 5.130
```

Output
space group = Fm-3m
ΔH_f (0 K) = 10 meV/atom


VASP calculation (PBE) on a geometry-optimized LiTbSmIn structure.

```
16
Lattice="7.549 0.000 0.000 0.000 7.549 0.000 0.000 0.000 7.549" Properties=species:S:1:pos:R:3 pbc="T T T"
Li 0.000 0.000 0.000
Li 0.000 3.775 3.775
Li 3.775 0.000 3.775
Li 3.775 3.775 0.000
Tb 1.887 1.887 5.662
Tb 1.887 5.662 1.887
Tb 5.662 1.887 1.887
Tb 5.662 5.662 5.662
Sm 1.887 1.887 1.887
Sm 1.887 5.662 5.662
Sm 5.662 1.887 5.662
Sm 5.662 5.662 1.887
In 0.000 0.000 3.775
In 0.000 3.775 0.000
In 3.775 0.000 0.000
In 3.775 3.775 3.775
```

Output
space group = F-43m
ΔH_f (0 K) = -266 meV/atom


VASP calculation (PBE) on a geometry-optimized TcMo5Ir6 structure.

```
12
Lattice="-1.954 3.918 5.852 1.954 -3.918 5.852 1.954 3.918 -5.852" Properties=species:S:1:pos:R:3 pbc="T T T"
Tc 0.000 0.000 0.000
Mo 1.954 0.000 1.927
Mo 0.000 0.000 3.909
Mo 0.000 3.918 0.000
Mo 0.000 0.000 7.795
Mo 0.000 3.918 3.924
Ir 1.954 -1.964 3.906
Ir 1.954 1.949 0.000
Ir 0.000 1.953 1.946
Ir 1.954 1.964 3.906
Ir 0.000 1.969 5.852
Ir 0.000 5.882 1.946
```

Output
space group = Immm
ΔH_f (0 K) = -285 meV/atom


VASP calculation (PBE) on a geometry-optimized La3Pr12Hg structure.

```
16
Lattice="5.173 0.000 0.000 0.000 5.173 0.000 0.000 0.000 20.964" Properties=species:S:1:pos:R:3 pbc="T T T"
La 0.000 0.000 0.000
La 0.000 0.000 5.339
La 0.000 0.000 15.626
Pr 0.000 2.586 2.668
Pr 0.000 2.586 8.003
Pr 0.000 2.586 12.961
Pr 0.000 2.586 18.296
Pr 2.586 0.000 2.668
Pr 2.586 0.000 8.003
Pr 2.586 0.000 12.961
Pr 2.586 0.000 18.296
Pr 2.586 2.586 0.000
Pr 2.586 2.586 5.396
Pr 2.586 2.586 10.482
Pr 2.586 2.586 15.569
Hg 0.000 0.000 10.482
```

Output
space group = P4/mmm
ΔH_f (0 K) = -23 meV/atom


VASP calculation (PBE) on a geometry-optimized La3Te2Se2 structure.

```
14
Lattice="15.083 0.000 0.000 0.000 4.527 0.000 -2.089 0.000 7.496" Properties=species:S:1:pos:R:3 pbc="T T T"
La 0.000 0.000 0.000
La 2.126 0.000 5.514
La 3.327 2.263 1.982
La 7.542 2.263 0.000
La 9.668 2.263 5.514
La 10.868 0.000 1.982
Te -0.032 2.263 6.418
Te 5.484 0.000 1.078
Te 7.510 0.000 6.418
Te 13.026 2.263 1.078
Se 1.438 0.000 2.621
Se 4.014 2.263 4.875
Se 8.980 2.263 2.621
Se 11.556 0.000 4.875
```

Output
energy relative to the elements, uncorrected = -1789 meV per atom
space group = C2/m


VASP calculation (PBE) on a geometry-optimized Sr3PrEr3Te8 structure.

```
15
Lattice="4.443 2.565 7.580 -4.443 2.565 7.580 0.000 -5.130 7.580" Properties=species:S:1:pos:R:3 pbc="T T T"
Sr -2.222 -1.283 7.580
Sr -2.222 1.283 15.161
Sr 0.000 2.565 7.580
Pr 0.000 0.000 11.370
Er -4.443 0.000 11.370
Er -2.222 1.283 3.790
Er 2.222 1.283 3.790
Te -2.329 -1.344 13.160
Te 0.000 0.000 5.519
Te 0.000 -2.689 9.581
Te -2.329 1.344 9.581
Te 2.329 -1.344 13.160
Te 0.000 2.689 13.160
Te 0.000 0.000 17.222
Te 2.329 1.344 9.581
```

Output
energy relative to the elements, uncorrected = -1499 meV per atom
space group = R-3m


VASP calculation (PBE) on a geometry-optimized Na2TlHRh structure.

```
5
Lattice="5.031 0.000 0.000 0.000 5.031 0.000 0.000 0.000 3.506" Properties=species:S:1:pos:R:3 pbc="T T T"
Na 0.000 2.515 0.000
Na 2.515 0.000 0.000
Tl 0.000 0.000 1.753
H 2.515 2.515 0.000
Rh 2.515 2.515 1.753
```

Output
E = -0.2299 Ry/atom
space group = P4/mmm


VASP calculation (PBE) on a geometry-optimized HfBe9Pd2 structure.

```
24
Lattice="4.465 0.000 0.000 -2.232 3.867 0.000 0.000 0.000 14.015" Properties=species:S:1:pos:R:3 pbc="T T T"
Hf 0.000 2.578 3.504
Hf 2.232 1.289 10.511
Be 0.000 0.000 0.000
Be 0.000 0.000 3.504
Be 0.000 0.000 7.007
Be 0.000 0.000 10.511
Be 0.000 1.297 8.736
Be 0.000 1.297 12.286
Be -1.109 3.218 8.736
Be -1.109 3.218 12.286
Be 0.000 2.578 10.511
Be 1.124 0.649 1.729
Be 1.124 0.649 5.279
Be 1.109 3.218 8.736
Be 1.109 3.218 12.286
Be 2.232 1.289 3.504
Be 3.341 0.649 1.729
Be 3.341 0.649 5.279
Be 2.232 2.569 1.729
Be 2.232 2.569 5.279
Pd 0.000 2.578 0.602
Pd 0.000 2.578 6.406
Pd 2.232 1.289 7.609
Pd 2.232 1.289 13.413
```

Output
space group = P6_3/mmc
ΔH_f (0 K) = -338 meV/atom


VASP calculation (PBE) on a geometry-optimized MnCuN3 structure.

```
5
Lattice="3.647 0.000 0.000 0.000 3.647 0.000 0.000 0.000 3.647" Properties=species:S:1:pos:R:3 pbc="T T T"
Mn 0.000 0.000 0.000
Cu 1.824 1.824 1.824
N 0.000 0.000 1.824
N 0.000 1.824 0.000
N 1.824 0.000 0.000
```

Output
energy relative to the elements, uncorrected = 1213 meV per atom
space group = Pm-3m


VASP calculation (PBE) on a geometry-optimized NiTe8Mo6 structure.

```
15
Lattice="7.160 0.000 0.000 0.039 7.189 0.000 0.634 0.085 7.214" Properties=species:S:1:pos:R:3 pbc="T T T"
Ni 0.000 0.000 0.000
Te 0.438 1.169 2.169
Te 1.050 4.037 4.506
Te 2.174 0.348 5.321
Te 3.287 5.851 1.713
Te 4.207 2.213 2.628
Te 4.891 5.073 5.129
Te 5.692 1.330 6.295
Te 6.696 4.890 0.957
Mo 1.087 2.669 6.874
Mo 1.835 3.531 1.755
Mo 2.566 5.006 6.636
Mo 2.654 1.216 0.525
Mo 3.404 2.799 5.358
Mo 4.157 3.631 0.287
```

Output
energy relative to the elements, uncorrected = -246 meV per atom
space group = P1


VASP calculation (PBE) on a geometry-optimized Na2Sn5Hg2Sb2 structure.

```
11
Lattice="-2.250 2.250 18.687 2.250 -2.250 18.687 2.250 2.250 -18.687" Properties=species:S:1:pos:R:3 pbc="T T T"
Na 0.000 0.000 8.045
Na 0.000 0.000 29.328
Sn 0.000 0.000 0.000
Sn 2.250 0.000 5.131
Sn 2.250 0.000 13.555
Sn 0.000 2.250 5.131
Sn 0.000 2.250 13.555
Hg 0.000 0.000 11.162
Hg 0.000 0.000 26.211
Sb 0.000 0.000 3.009
Sb 0.000 0.000 34.365
```

Output
energy relative to the elements, uncorrected = 94 meV per atom
space group = I4/mmm


VASP calculation (PBE) on a geometry-optimized ReAg2PO structure.

```
5
Lattice="4.745 0.000 0.000 0.000 4.745 0.000 0.000 0.000 3.773" Properties=species:S:1:pos:R:3 pbc="T T T"
Re 0.000 0.000 0.000
Ag 0.000 2.372 1.887
Ag 2.372 0.000 1.887
P 2.372 2.372 0.000
O 0.000 0.000 1.887
```

Output
energy relative to the elements, uncorrected = 653 meV per atom
space group = P4/mmm


VASP calculation (PBE) on a geometry-optimized ZnCuOs3 structure.

```
5
Lattice="4.475 0.000 0.000 0.000 4.475 0.000 0.000 0.000 4.475" Properties=species:S:1:pos:R:3 pbc="T T T"
Zn 0.000 0.000 0.000
Cu 2.238 2.238 2.238
Os 0.000 0.000 2.238
Os 0.000 2.238 0.000
Os 2.238 0.000 0.000
```

Output
space group = Pm-3m
ΔH_f (0 K) = 2331 meV/atom


VASP calculation (PBE) on a geometry-optimized Ba2BeNi structure.

```
16
Lattice="8.398 0.000 0.000 0.000 8.398 0.000 0.000 0.000 7.420" Properties=species:S:1:pos:R:3 pbc="T T T"
Ba 1.871 2.100 0.927
Ba 2.100 6.071 2.782
Ba 2.100 6.527 6.492
Ba 2.328 2.100 4.637
Ba 6.071 6.299 4.637
Ba 6.299 1.871 6.492
Ba 6.299 2.328 2.782
Ba 6.527 6.299 0.927
Be 0.000 0.000 3.710
Be 0.000 4.199 5.565
Be 4.199 0.000 1.855
Be 4.199 4.199 0.000
Ni 0.000 0.000 0.000
Ni 0.000 4.199 1.855
Ni 4.199 0.000 5.565
Ni 4.199 4.199 3.710
```

Output
space group = I-42d
ΔH_f (0 K) = 701 meV/atom


VASP calculation (PBE) on a geometry-optimized Si2IrW2 structure.

```
10
Lattice="6.052 0.000 0.000 0.000 6.052 0.000 0.000 0.000 3.916" Properties=species:S:1:pos:R:3 pbc="T T T"
Si 0.805 2.221 0.000
Si 2.221 5.247 0.000
Si 3.831 0.805 0.000
Si 5.247 3.831 0.000
Ir 0.000 0.000 0.000
Ir 3.026 3.026 0.000
W 1.036 4.062 1.958
W 1.990 1.036 1.958
W 4.062 5.016 1.958
W 5.016 1.990 1.958
```

Output
energy relative to the elements, uncorrected = -166 meV per atom
space group = P4/mbm


VASP calculation (PBE) on a geometry-optimized YFeCl2 structure.

```
4
Lattice="3.361 0.000 0.000 0.000 3.361 0.000 0.000 0.000 8.179" Properties=species:S:1:pos:R:3 pbc="T T T"
Y 0.000 0.000 0.000
Fe 1.681 1.681 6.252
Cl 0.000 0.000 5.223
Cl 1.681 1.681 1.743
```

Output
energy relative to the elements, uncorrected = -798 meV per atom
space group = P4mm


VASP calculation (PBE) on a geometry-optimized LiNpScSe4 structure.

```
14
Lattice="-3.948 4.166 5.644 3.948 -4.166 5.644 3.948 4.166 -5.644" Properties=species:S:1:pos:R:3 pbc="T T T"
Li 0.000 2.083 1.553
Li 3.948 2.083 4.091
Np 3.948 0.000 0.000
Np 0.000 0.000 5.644
Sc 1.974 2.083 -2.822
Sc 1.974 -2.083 2.822
Se 3.948 -0.195 2.802
Se 3.948 3.972 -2.802
Se 2.035 2.083 -0.092
Se 5.861 2.083 -0.092
Se -1.913 2.083 5.736
Se 1.913 2.083 5.736
Se 0.000 0.195 8.446
Se 0.000 4.361 2.841
```

Output
energy relative to the elements, uncorrected = -1340 meV per atom
space group = Imma


VASP calculation (PBE) on a geometry-optimized Pu2TlPt structure.

```
16
Lattice="7.330 0.000 0.000 0.000 7.330 0.000 0.000 0.000 7.330" Properties=species:S:1:pos:R:3 pbc="T T T"
Pu 1.833 1.833 1.833
Pu 1.833 1.833 5.498
Pu 1.833 5.498 1.833
Pu 1.833 5.498 5.498
Pu 5.498 1.833 1.833
Pu 5.498 1.833 5.498
Pu 5.498 5.498 1.833
Pu 5.498 5.498 5.498
Tl 0.000 0.000 0.000
Tl 0.000 3.665 3.665
Tl 3.665 0.000 3.665
Tl 3.665 3.665 0.000
Pt 0.000 0.000 3.665
Pt 0.000 3.665 0.000
Pt 3.665 0.000 0.000
Pt 3.665 3.665 3.665
```

Output
space group = Fm-3m
ΔH_f (0 K) = -235 meV/atom


VASP calculation (PBE) on a geometry-optimized Na3TlBi2 structure.

```
12
Lattice="4.797 0.000 0.000 0.000 14.642 0.000 0.000 0.000 4.934" Properties=species:S:1:pos:R:3 pbc="T T T"
Na 0.000 0.000 0.000
Na 0.000 4.845 0.000
Na 0.000 9.798 0.000
Na 2.398 2.477 0.000
Na 2.398 7.321 0.000
Na 2.398 12.166 0.000
Tl 0.000 7.321 2.467
Tl 2.398 0.000 2.467
Bi 0.000 2.427 2.467
Bi 0.000 12.216 2.467
Bi 2.398 4.894 2.467
Bi 2.398 9.748 2.467
```

Output
space group = Cmmm
ΔH_f (0 K) = -233 meV/atom